1.
PmCdF3: optimized geometry, PBE.

Summary:
Calculated density, kg/m3: 5229
DFT total energy, eV per atom: -5.27

abc: 4.6392 4.6392 4.6392
angles: 90.00 90.00 90.00
Positions (direct):
Pm1 0.0000 0.0000 0.0000
Cd1 0.5000 0.5000 0.5000
F1 0.0000 0.0000 0.5000
F2 0.0000 0.5000 0.0000
F3 0.5000 0.0000 0.0000

***

2.
Pm2CdF: optimized geometry, PBE.

Summary:
Calculated density, kg/m3: 7689
Distance to the lowest polymorph of the same formula, eV per atom: 0.205

abc: 3.3003 3.3003 8.3558
angles: 90.00 90.00 90.00
Positions (direct):
Pm1 0.0000 0.0000 0.2280
Pm2 0.0000 0.0000 0.7720
Cd1 0.5000 0.5000 0.5000
F1 0.5000 0.5000 0.0000

***

3.
Pm2CdF: optimized geometry, PBE.

Summary:
Calculated density, kg/m3: 7211
Distance to the lowest polymorph of the same formula, eV per atom: 0.000

abc: 7.9274 7.9274 7.9274
angles: 28.01 28.01 28.01
Positions (direct):
Pm1 0.2282 0.2282 0.2282
Pm2 0.7718 0.7718 0.7718
Cd1 0.0000 0.0000 0.0000
F1 0.5000 0.5000 0.5000

***

4.
RbPmCdF6: optimized geometry, PBE.

Summary:
Calculated density, kg/m3: 3600
DFT total energy, eV per atom: -5.10

abc: 8.4470 8.4470 8.4470
angles: 122.25 119.07 88.89
Positions (direct):
Rb1 0.2852 0.0352 0.2500
Rb2 0.7148 0.9648 0.7500
Pm1 0.0000 0.5000 0.5000
Pm2 0.5000 0.5000 0.0000
Cd1 0.0000 0.0000 0.5000
Cd2 0.0000 0.5000 0.0000
F1 0.0462 0.4045 0.2237
F2 0.0462 0.8225 0.6417
F3 0.0637 0.8137 0.2500
F4 0.3176 0.5676 0.7500
F5 0.3192 0.1775 0.7237
F6 0.3192 0.5955 0.1417
F7 0.6808 0.4045 0.8583
F8 0.6808 0.8225 0.2763
F9 0.6824 0.4324 0.2500
F10 0.9363 0.1863 0.7500
F11 0.9538 0.1775 0.3583
F12 0.9538 0.5955 0.7763

***

5.
Rb2PmCdF6: optimized geometry, PBE.

Summary:
Calculated density, kg/m3: 4145
DFT total energy, eV per atom: -4.79

abc: 6.7476 6.7476 6.7476
angles: 60.00 60.00 60.00
Positions (direct):
Rb1 0.2500 0.2500 0.2500
Rb2 0.7500 0.7500 0.7500
Pm1 0.0000 0.0000 0.0000
Cd1 0.5000 0.5000 0.5000
F1 0.2368 0.2368 0.7632
F2 0.2368 0.7632 0.2368
F3 0.2368 0.7632 0.7632
F4 0.7632 0.2368 0.2368
F5 0.7632 0.2368 0.7632
F6 0.7632 0.7632 0.2368

***

6.
PmTlCdF6: optimized geometry, PBE.

Summary:
Calculated density, kg/m3: 5145
DFT total energy, eV per atom: -5.04

abc: 6.2606 6.2606 10.9495
angles: 90.00 90.00 120.00
Positions (direct):
Pm1 0.3333 0.6667 0.2500
Pm2 0.6667 0.3333 0.7500
Tl1 0.0000 0.0000 0.0000
Tl2 0.0000 0.0000 0.5000
Cd1 0.3333 0.6667 0.7500
Cd2 0.6667 0.3333 0.2500
F1 0.9998 0.3769 0.1440
F2 0.0002 0.3771 0.6440
F3 0.9998 0.6229 0.3560
F4 0.0002 0.6231 0.8560
F5 0.3771 0.0002 0.1440
F6 0.3769 0.9998 0.6440
F7 0.3771 0.3769 0.3560
F8 0.3769 0.3771 0.8560
F9 0.6231 0.0002 0.3560
F10 0.6229 0.9998 0.8560
F11 0.6231 0.6229 0.1440
F12 0.6229 0.6231 0.6440

***

7.
PmTl2Cd3F12: optimized geometry, PBE.

Summary:
Calculated density, kg/m3: 4803
DFT total energy, eV per atom: -4.27

abc: 8.3854 8.3854 8.3854
angles: 56.88 56.88 56.88
Positions (direct):
Pm1 0.0000 0.0000 0.0000
Tl1 0.4147 0.4147 0.4147
Tl2 0.5853 0.5853 0.5853
Cd1 0.0000 0.0000 0.5000
Cd2 0.0000 0.5000 0.0000
Cd3 0.5000 0.0000 0.0000
F1 0.0692 0.0692 0.6725
F2 0.0692 0.6725 0.0692
F3 0.1016 0.6680 0.6680
F4 0.3275 0.9308 0.9308
F5 0.3320 0.3320 0.8984
F6 0.3320 0.8984 0.3320
F7 0.6680 0.1016 0.6680
F8 0.6680 0.6680 0.1016
F9 0.6725 0.0692 0.0692
F10 0.8984 0.3320 0.3320
F11 0.9308 0.3275 0.9308
F12 0.9308 0.9308 0.3275

***

8.
Pr3CdF: optimized geometry, PBE.

Summary:
Calculated density, kg/m3: 6952
DFT total energy, eV per atom: -4.47

abc: 5.0962 5.0962 5.0962
angles: 90.00 90.00 90.00
Positions (direct):
Pr1 0.0000 0.0000 0.5000
Pr2 0.0000 0.5000 0.0000
Pr3 0.5000 0.0000 0.0000
Cd1 0.5000 0.5000 0.5000
F1 0.0000 0.0000 0.0000

***

These records have density of states at the Fermi level values of 0.00, 3.48, 3.90, 0.00, 2.96, 0.00, 12.81, 3.96 states/eV/cell, in the order they appear.
These records have spin magnetization values of 0.000, 0.000, 0.000, 0.000, 0.073, 0.000, 0.039, 0.000 μB per atom, in the order they appear.